No. 1
A plane-wave DFT calculation with PBE-GGA was carried out for K2InAu after structural relaxation.

Summary:
V = 289 Å³/cell
uncorrected energy = -17.924 eV for the cell shown

a b c (Å): 4.2341 5.9785 11.4169
angles (deg): 90.00 90.00 90.00
Space group Imm2 (No. 44)
Unique sites:
K1 0.0000 0.0000 0.0000 [2 per cell]
K2 0.0000 0.5000 0.1936 [2 per cell]
In1 0.0000 0.0000 0.4038 [2 per cell]
Au1 0.0000 0.5000 0.7526 [2 per cell]

=====

No. 2
A plane-wave DFT calculation with PBE-GGA was carried out for CuSn after structural relaxation.

Summary:
V = 376 Å³/cell
uncorrected energy = -60.270 eV for the cell shown

a b c (Å): 10.9195 10.9195 3.1561
angles (deg): 90.00 90.00 90.00
Space group I4/m (No. 87)
Unique sites:
Cu1 0.1745 0.7017 0.0000 [8 per cell]
Sn1 0.0458 0.2027 0.0000 [8 per cell]

=====

No. 3
A plane-wave DFT calculation with PBE-GGA was carried out for La2Tb2DyMg5 after structural relaxation.

Summary:
V = 581 Å³/cell
uncorrected energy = -63.296 eV for the cell shown

a b c (Å): 10.6494 10.6494 5.1263
angles (deg): 90.00 90.00 90.00
Space group P4/mbm (No. 127)
Unique sites:
La1 0.1753 0.3247 0.0000 [4 per cell]
Tb1 0.1215 0.6215 0.0000 [4 per cell]
Dy1 0.0000 0.0000 0.0000 [2 per cell]
Mg1 0.0000 0.5000 0.5000 [2 per cell]
Mg2 0.0713 0.8028 0.5000 [8 per cell]

=====

No. 4
A plane-wave DFT calculation with PBE-GGA was carried out for SrHfReCl2 after structural relaxation.

Summary:
V = 139 Å³/cell
uncorrected energy = -22.260 eV for the cell shown
uncorrected formation energy = 1.10 eV per atom

a b c (Å): 4.7134 4.7134 6.2660
angles (deg): 90.00 90.00 90.00
Space group P4/mmm (No. 123)
Unique sites:
Sr1 0.0000 0.0000 0.0000 [1 per cell]
Hf1 0.5000 0.5000 0.0000 [1 per cell]
Re1 0.0000 0.0000 0.5000 [1 per cell]
Cl1 0.0000 0.5000 0.5000 [2 per cell]

=====

No. 5
A plane-wave DFT calculation with PBE-GGA was carried out for Hf2AlSnS after structural relaxation.

Summary:
V = 117 Å³/cell
uncorrected energy = -31.217 eV for the cell shown
uncorrected formation energy = 0.11 eV per atom

a b c (Å): 4.7515 4.7515 5.1798
angles (deg): 90.00 90.00 90.00
Space group P4/mmm (No. 123)
Unique sites:
Hf1 0.0000 0.5000 0.0000 [2 per cell]
Al1 0.0000 0.0000 0.5000 [1 per cell]
Sn1 0.5000 0.5000 0.5000 [1 per cell]
S1 0.5000 0.5000 0.0000 [1 per cell]

=====

No. 6
A plane-wave DFT calculation with PBE-GGA was carried out for Ba2MgInS5 after structural relaxation.

Summary:
V = 990 Å³/cell
uncorrected energy = -162.558 eV for the cell shown
uncorrected formation energy = -1.31 eV per atom

a b c (Å): 4.1994 19.0696 12.3575
angles (deg): 90.00 90.00 90.00
Space group Cmc2_1 (No. 36)
Unique sites:
Ba1 0.0000 0.1148 0.0000 [4 per cell]
Ba2 0.0000 0.1187 0.6296 [4 per cell]
Mg1 0.0000 0.2339 0.3477 [4 per cell]
In1 0.0000 0.4401 0.7851 [4 per cell]
S1 0.0000 0.0423 0.3912 [4 per cell]
S2 0.0000 0.2867 0.9730 [4 per cell]
S3 0.0000 0.3089 0.7392 [4 per cell]
S4 0.0000 0.3594 0.3183 [4 per cell]
S5 0.0000 0.4915 0.6047 [4 per cell]

=====

No. 7
A plane-wave DFT calculation with PBE-GGA was carried out for KHgBr2 after structural relaxation.

Summary:
V = 421 Å³/cell
uncorrected energy = -24.211 eV for the cell shown
offset from the most stable computed form = 134.6 meV per atom
uncorrected formation energy = -0.83 eV per atom

a b c (Å): 4.5759 4.5759 23.2230
angles (deg): 90.00 90.00 120.00
Space group R3m (No. 160, hexagonal axes)
Unique sites:
K1 0.0000 0.0000 0.0000 [3 per cell]
Hg1 0.0000 0.0000 0.8317 [3 per cell]
Br1 0.0000 0.0000 0.4187 [3 per cell]
Br2 0.0000 0.0000 0.5800 [3 per cell]

=====

No. 8
A plane-wave DFT calculation with PBE-GGA was carried out for As2RhBrCl after structural relaxation.

Summary:
V = 120 Å³/cell
uncorrected energy = -18.684 eV for the cell shown
offset from the most stable computed form = 0.0 meV per atom
uncorrected formation energy = 0.30 eV per atom

a b c (Å): 4.8088 4.8088 5.1740
angles (deg): 90.00 90.00 90.00
Space group P4/mmm (No. 123)
Unique sites:
As1 0.0000 0.5000 0.0000 [2 per cell]
Rh1 0.0000 0.0000 0.0000 [1 per cell]
Br1 0.0000 0.0000 0.5000 [1 per cell]
Cl1 0.5000 0.5000 0.5000 [1 per cell]

=====

No. 9
A plane-wave DFT calculation with PBE-GGA was carried out for KLa3Tl after structural relaxation.

Summary:
V = 243 Å³/cell
uncorrected energy = -16.647 eV for the cell shown
offset from the most stable computed form = 0.0 meV per atom

a b c (Å): 6.2385 6.2385 6.2385
angles (deg): 90.00 90.00 90.00
Space group Pm-3m (No. 221)
Unique sites:
K1 0.0000 0.0000 0.0000 [1 per cell]
La1 0.0000 0.5000 0.5000 [3 per cell]
Tl1 0.5000 0.5000 0.5000 [1 per cell]

=====

No. 10
A plane-wave DFT calculation with PBE-GGA was carried out for CsKInBrCl after structural relaxation.

Summary:
V = 195 Å³/cell
uncorrected energy = -14.229 eV for the cell shown
offset from the most stable computed form = 0.0 meV per atom
uncorrected formation energy = -1.20 eV per atom

a b c (Å): 4.1967 4.1967 11.0619
angles (deg): 90.00 90.00 90.00
Space group P4mm (No. 99)
Unique sites:
Cs1 0.0000 0.0000 0.0000 [1 per cell]
K1 0.0000 0.0000 0.6232 [1 per cell]
In1 0.5000 0.5000 0.3944 [1 per cell]
Br1 0.5000 0.5000 0.7684 [1 per cell]
Cl1 0.5000 0.5000 0.1507 [1 per cell]

=====

No. 11
A plane-wave DFT calculation with PBE-GGA was carried out for PbC after structural relaxation.

Summary:
V = 178 Å³/cell
uncorrected energy = -42.032 eV for the cell shown
offset from the most stable computed form = 360.0 meV per atom

a b c (Å): 5.5870 5.5870 6.5705
angles (deg): 90.00 90.00 120.00
Space group P6_3/mmc (No. 194)
Unique sites:
Pb1 0.0000 0.0000 0.2500 [2 per cell]
Pb2 0.3333 0.6667 0.2500 [2 per cell]
C1 0.3333 0.6667 0.6526 [4 per cell]

=====

No. 12
A plane-wave DFT calculation with PBE-GGA was carried out for Pr3Pd2Rh7 after structural relaxation.

Summary:
V = 666 Å³/cell
uncorrected energy = -247.754 eV for the cell shown

a b c (Å): 5.3566 5.3566 26.7880
angles (deg): 90.00 90.00 120.00
Space group R-3m (No. 166, hexagonal axes)
Unique sites:
Pr1 0.0000 0.0000 0.0000 [3 per cell]
Pr2 0.0000 0.0000 0.1396 [6 per cell]
Pd1 0.0000 0.0000 0.3331 [6 per cell]
Rh1 0.0000 0.0000 0.5000 [3 per cell]
Rh2 0.0014 0.5007 0.9164 [18 per cell]

=====

No. 13
A plane-wave DFT calculation with PBE-GGA was carried out for Zr2ScRe after structural relaxation.

Summary:
V = 167 Å³/cell
uncorrected energy = -71.392 eV for the cell shown

a b c (Å): 3.3766 5.0755 9.7388
angles (deg): 90.00 90.00 90.00
Space group Cmmm (No. 65)
Unique sites:
Zr1 0.0000 0.0000 0.2180 [4 per cell]
Sc1 0.0000 0.5000 0.5000 [2 per cell]
Re1 0.0000 0.5000 0.0000 [2 per cell]

=====

No. 14
A plane-wave DFT calculation with PBE-GGA was carried out for Sr2Cd6Hg3 after structural relaxation.

Summary:
V = 302 Å³/cell
uncorrected energy = -12.517 eV for the cell shown

a b c (Å): 8.8245 8.8245 4.4779
angles (deg): 90.00 90.00 120.00
Space group P-62m (No. 189)
Unique sites:
Sr1 0.3333 0.6667 0.0000 [2 per cell]
Cd1 0.0000 0.2705 0.5000 [3 per cell]
Cd2 0.0000 0.8068 0.0000 [3 per cell]
Hg1 0.0000 0.5929 0.5000 [3 per cell]

=====

No. 15
A plane-wave DFT calculation with PBE-GGA was carried out for ScZn2Co2 after structural relaxation.

Summary:
V = 139 Å³/cell
uncorrected energy = -47.156 eV for the cell shown
offset from the most stable computed form = 11.6 meV per atom

a b c (Å): 6.9486 6.9486 2.8694
angles (deg): 90.00 90.00 90.00
Space group P4/mbm (No. 127)
Unique sites:
Sc1 0.0000 0.0000 0.0000 [2 per cell]
Zn1 0.1244 0.3756 0.0000 [4 per cell]
Co1 0.1739 0.6739 0.5000 [4 per cell]

=====

No. 16
A plane-wave DFT calculation with PBE-GGA was carried out for FeWSe4 after structural relaxation.

Summary:
V = 462 Å³/cell
uncorrected energy = -105.435 eV for the cell shown
uncorrected formation energy = 1.50 eV per atom

a b c (Å): 7.7285 7.7285 7.7285
angles (deg): 90.00 90.00 90.00
Space group F-43m (No. 216)
Unique sites:
Fe1 0.0000 0.0000 0.0000 [4 per cell]
W1 0.2500 0.2500 0.2500 [4 per cell]
Se1 0.1250 0.1250 0.6250 [16 per cell]

=====

No. 17
A plane-wave DFT calculation with PBE-GGA was carried out for Ba2NdMo2N6 after structural relaxation.

Summary:
V = 427 Å³/cell
uncorrected energy = -174.758 eV for the cell shown
uncorrected formation energy = -0.65 eV per atom

a b c (Å): 10.9826 6.2723 7.2992
angles (deg): 90.00 121.92 90.00
Space group C2/m (No. 12)
Unique sites:
Ba1 0.2090 0.0000 0.1772 [4 per cell]
Nd1 0.0000 0.0000 0.5000 [2 per cell]
Mo1 0.0388 0.5000 0.2145 [4 per cell]
N1 0.0552 0.2593 0.7857 [8 per cell]
N2 0.2370 0.5000 0.3850 [4 per cell]

=====

No. 18
A plane-wave DFT calculation with PBE-GGA was carried out for CrSn2Ru2 after structural relaxation.

Summary:
V = 178 Å³/cell
uncorrected energy = -70.928 eV for the cell shown

a b c (Å): 7.4297 7.4297 3.2239
angles (deg): 90.00 90.00 90.00
Space group P4/mbm (No. 127)
Unique sites:
Cr1 0.0000 0.0000 0.0000 [2 per cell]
Sn1 0.1607 0.3393 0.5000 [4 per cell]
Ru1 0.1383 0.6383 0.0000 [4 per cell]

=====

No. 19
A plane-wave DFT calculation with PBE-GGA was carried out for Sr2LiHf after structural relaxation.

Summary:
V = 551 Å³/cell
uncorrected energy = -50.856 eV for the cell shown
offset from the most stable computed form = 0.0 meV per atom

a b c (Å): 8.1997 8.1997 8.1997
angles (deg): 90.00 90.00 90.00
Space group Fm-3m (No. 225)
Unique sites:
Sr1 0.2500 0.2500 0.2500 [8 per cell]
Li1 0.0000 0.0000 0.0000 [4 per cell]
Hf1 0.0000 0.0000 0.5000 [4 per cell]

=====

No. 20
A plane-wave DFT calculation with PBE-GGA was carried out for ZnSb3Pd after structural relaxation.

Summary:
V = 136 Å³/cell
uncorrected energy = -15.322 eV for the cell shown
offset from the most stable computed form = 245.8 meV per atom
uncorrected formation energy = 0.70 eV per atom

a b c (Å): 5.1385 5.1385 5.1385
angles (deg): 90.00 90.00 90.00
Space group Pm-3m (No. 221)
Unique sites:
Zn1 0.0000 0.0000 0.0000 [1 per cell]
Sb1 0.0000 0.0000 0.5000 [3 per cell]
Pd1 0.5000 0.5000 0.5000 [1 per cell]

=====

No. 21
A plane-wave DFT calculation with PBE-GGA was carried out for BaZrAl2 after structural relaxation.

Summary:
V = 102 Å³/cell
uncorrected energy = -17.636 eV for the cell shown
offset from the most stable computed form = 255.4 meV per atom

a b c (Å): 3.3494 3.3494 9.0615
angles (deg): 90.00 90.00 90.00
Space group P4mm (No. 99)
Unique sites:
Ba1 0.0000 0.0000 0.0000 [1 per cell]
Zr1 0.5000 0.5000 0.3573 [1 per cell]
Al1 0.0000 0.0000 0.5486 [1 per cell]
Al2 0.5000 0.5000 0.7120 [1 per cell]

=====

No. 22
A plane-wave DFT calculation with PBE-GGA was carried out for NpCu2PbO6 after structural relaxation.

Summary:
V = 444 Å³/cell
uncorrected energy = -209.000 eV for the cell shown
uncorrected formation energy = -1.51 eV per atom

a b c (Å): 5.5731 5.5731 16.4941
angles (deg): 90.00 90.00 120.00
Space group R-3 (No. 148, hexagonal axes)
Unique sites:
Np1 0.0000 0.0000 0.0000 [3 per cell]
Cu1 0.0000 0.0000 0.2633 [6 per cell]
Pb1 0.0000 0.0000 0.5000 [3 per cell]
O1 0.0186 0.7117 0.9266 [18 per cell]

=====

No. 23
A plane-wave DFT calculation with PBE-GGA was carried out for LiSn2Pd9 after structural relaxation.

Summary:
V = 191 Å³/cell
uncorrected energy = -61.520 eV for the cell shown

a b c (Å): 4.0213 4.0213 11.8105
angles (deg): 90.00 90.00 90.00
Space group P4/mmm (No. 123)
Unique sites:
Li1 0.0000 0.0000 0.0000 [1 per cell]
Sn1 0.0000 0.0000 0.3268 [2 per cell]
Pd1 0.0000 0.5000 0.1595 [4 per cell]
Pd2 0.0000 0.5000 0.5000 [2 per cell]
Pd3 0.5000 0.5000 0.0000 [1 per cell]
Pd4 0.5000 0.5000 0.3297 [2 per cell]

=====

No. 24
A plane-wave DFT calculation with PBE-GGA was carried out for Tm4Mg3Cd after structural relaxation.

Summary:
V = 212 Å³/cell
uncorrected energy = -24.183 eV for the cell shown
offset from the most stable computed form = 48.7 meV per atom

a b c (Å): 3.3638 5.0465 12.4638
angles (deg): 90.00 90.00 90.00
Space group Pmm2 (No. 25)
Unique sites:
Tm1 0.0000 0.0000 0.0000 [1 per cell]
Tm2 0.0000 0.5000 0.3415 [1 per cell]
Tm3 0.5000 0.0000 0.4947 [1 per cell]
Tm4 0.5000 0.5000 0.8467 [1 per cell]
Mg1 0.0000 0.0000 0.7361 [1 per cell]
Mg2 0.0000 0.5000 0.6044 [1 per cell]
Mg3 0.5000 0.5000 0.1068 [1 per cell]
Cd1 0.5000 0.0000 0.2373 [1 per cell]